No. 1
Entry from Alexandria via LeMat-Bulk: crystalline NaScTlRe2 at its relaxed geometry (PBE-GGA).

Computed properties:
**Theoretical density**: 8.5 g/cm³
**Density of states at the Fermi level**: 7.34 states/eV/cell
**Formation energy**: 9.92 eV per formula unit

Lattice parameters (Å, degrees): 5.092 5.092 4.837 90.00 90.00 90.00
Positions (direct):
Na 0.000 0.000 0.000
Sc 0.500 0.500 0.000
Tl 0.000 0.000 0.500
Re 0.000 0.500 0.500
Re 0.500 0.000 0.500

***

No. 2
Entry from Alexandria via LeMat-Bulk: crystalline NdPa2Se4 at its relaxed geometry (PBE-GGA).

Computed properties:
**Total energy**: -6.788 eV per atom
**Theoretical density**: 8.1 g/cm³
**Density of states at the Fermi level**: 20.04 states/eV/cell

Lattice parameters (Å, degrees): 6.912 6.912 14.280 90.00 90.00 146.56
Positions (direct):
Nd 0.110 0.890 0.750
Nd 0.890 0.110 0.250
Pa 0.357 0.643 0.561
Pa 0.357 0.643 0.939
Pa 0.643 0.357 0.061
Pa 0.643 0.357 0.439
Se 0.000 0.000 0.000
Se 0.000 0.000 0.500
Se 0.283 0.717 0.130
Se 0.283 0.717 0.370
Se 0.442 0.558 0.750
Se 0.558 0.442 0.250
Se 0.717 0.283 0.630
Se 0.717 0.283 0.870

***

No. 3
Entry from Alexandria via LeMat-Bulk: crystalline LaZrTe at its relaxed geometry (PBE-GGA).

Computed properties:
**Total energy**: -5.976 eV per atom
**Theoretical density**: 6.9 g/cm³
**Density of states at the Fermi level**: 4.50 states/eV/cell

Lattice parameters (Å, degrees): 5.044 5.044 3.906 90.00 90.00 120.00
Positions (direct):
La 0.000 0.000 0.000
Zr 0.333 0.667 0.500
Te 0.667 0.333 0.500

***

No. 4
Entry from Alexandria via LeMat-Bulk: crystalline Mg3Si4 at its relaxed geometry (PBE-GGA).

Computed properties:
**Total energy**: -3.718 eV per atom
**Theoretical density**: 2.3 g/cm³
**Density of states at the Fermi level**: 3.62 states/eV/cell

Lattice parameters (Å, degrees): 5.301 7.111 7.863 113.62 90.41 102.92
Positions (direct):
Mg 0.000 0.000 0.000
Mg 0.012 0.900 0.500
Mg 0.111 0.472 0.210
Mg 0.337 0.286 0.473
Mg 0.624 0.602 0.046
Mg 0.658 0.170 0.748
Si 0.061 0.586 0.864
Si 0.190 0.271 0.822
Si 0.462 0.860 0.906
Si 0.479 0.864 0.366
Si 0.529 0.714 0.585
Si 0.555 0.229 0.128
Si 0.808 0.166 0.357
Si 0.884 0.535 0.564

***

No. 5
Entry from Alexandria via LeMat-Bulk: crystalline BaBi3Cl at its relaxed geometry (PBE-GGA).

Computed properties:
**Total energy**: -2.335 eV per atom
**Theoretical density**: 5.0 g/cm³
**Density of states at the Fermi level**: 4.49 states/eV/cell

Lattice parameters (Å, degrees): 6.448 6.448 6.448 90.00 90.00 90.00
Positions (direct):
Ba 0.000 0.000 0.000
Bi 0.000 0.000 0.500
Bi 0.000 0.500 0.000
Bi 0.500 0.000 0.000
Cl 0.500 0.500 0.500

***

No. 6
Entry from Alexandria via LeMat-Bulk: crystalline Ti2FeB2 at its relaxed geometry (PBE-GGA).

Computed properties:
**Theoretical density**: 5.5 g/cm³
**Density of states at the Fermi level**: 5.56 states/eV/cell
**Formation energy**: -3.47 eV per formula unit

Lattice parameters (Å, degrees): 3.102 4.691 7.175 90.00 90.00 90.00
Positions (direct):
Ti 0.000 0.000 0.217
Ti 0.000 0.000 0.783
Ti 0.500 0.500 0.283
Ti 0.500 0.500 0.717
Fe 0.000 0.500 0.000
Fe 0.500 0.000 0.500
B 0.000 0.313 0.500
B 0.000 0.687 0.500
B 0.500 0.187 0.000
B 0.500 0.813 0.000

***

No. 7
Entry from Alexandria via LeMat-Bulk: crystalline ErTm2PuTl4 at its relaxed geometry (PBE-GGA).

Computed properties:
**Theoretical density**: 12.0 g/cm³
**Density of states at the Fermi level**: 13.42 states/eV/cell
**Formation energy**: -1.70 eV per formula unit

Lattice parameters (Å, degrees): 9.263 9.263 9.263 33.53 33.53 33.53
Positions (direct):
Er 0.000 0.000 0.000
Tm 0.248 0.248 0.248
Tm 0.752 0.752 0.752
Pu 0.500 0.500 0.500
Tl 0.123 0.123 0.123
Tl 0.373 0.373 0.373
Tl 0.627 0.627 0.627
Tl 0.877 0.877 0.877

***

No. 8
Entry from Alexandria via LeMat-Bulk: crystalline LiMgSc3 at its relaxed geometry (PBE-GGA).

Computed properties:
**Theoretical density**: 1.8 g/cm³
**Density of states at the Fermi level**: 7.21 states/eV/cell
**Formation energy**: 4.07 eV per formula unit

Lattice parameters (Å, degrees): 5.347 5.347 5.347 90.00 90.00 90.00
Positions (direct):
Li 0.000 0.000 0.000
Mg 0.500 0.500 0.500
Sc 0.000 0.500 0.500
Sc 0.500 0.000 0.500
Sc 0.500 0.500 0.000